No. 1
The following is a DFT calculation (PBE) of a relaxed structure of PrNdSmTh.

Cell lengths 8.193, 8.193, 8.193 Å; angles 90.00, 90.00, 90.00 degrees
Space group F-43m (No. 216)
Unique sites:
Pr1 0.000 0.000 0.000 x4
Nd1 0.250 0.250 0.250 x4
Sm1 0.000 0.000 0.500 x4
Th1 0.250 0.250 0.750 x4

Energy relative to the lowest polymorph listed for this composition: 0.169 eV/atom
Formation energy: 0.1919 eV per atom

No. 2
The following is a DFT calculation (PBE) of a relaxed structure of Re2TeW.

Cell lengths 4.517, 3.087, 5.191 Å; angles 90.00, 110.43, 90.00 degrees
Space group P2/m (No. 10)
Unique sites:
Re1 0.000 0.000 0.000 x1
Re2 0.000 0.500 0.500 x1
Te1 0.500 0.000 0.500 x1
W1 0.500 0.500 0.000 x1

Raw formation energy: 0.815 eV per atom

No. 3
The following is a DFT calculation (PBE) of a relaxed structure of Tl2SbW.

Cell lengths 2.980, 2.980, 11.191 Å; angles 90.00, 90.00, 90.00 degrees
Space group P4/mmm (No. 123)
Unique sites:
Tl1 0.000 0.000 0.215 x2
Sb1 0.500 0.500 0.500 x1
W1 0.500 0.500 0.000 x1

Energy relative to the lowest polymorph listed for this composition: 0.403 eV/atom
Raw formation energy: 0.894 eV per atom

No. 4
The following is a DFT calculation (PBE) of a relaxed structure of Ac2HgAs.

Cell lengths 4.3924, 4.3924, 25.2669 Å; angles 90.00, 90.00, 120.00 degrees
Space group R3m (No. 160, hexagonal axes)
Unique sites:
Ac1 0.0000 0.0000 0.0000 x3
Ac2 0.0000 0.0000 0.1867 x3
Hg1 0.0000 0.0000 0.4260 x3
As1 0.0000 0.0000 0.5938 x3

Energy relative to the lowest polymorph listed for this composition: 0.017 eV/atom
Formation energy: -0.8696 eV per atom

No. 5
The following is a DFT calculation (PBE) of a relaxed structure of BaCa2Ag2.

Cell lengths 4.974, 4.974, 13.722 Å; angles 90.00, 90.00, 90.00 degrees
Space group I4/mmm (No. 139)
Unique sites:
Ba1 0.000 0.000 0.000 x2
Ca1 0.000 0.500 0.250 x4
Ag1 0.000 0.000 0.395 x4

Energy relative to the lowest polymorph listed for this composition: 0.007 eV/atom
Formation energy: -0.2160 eV per atom

No. 6
The following is a DFT calculation (PBE) of a relaxed structure of Be2AgBr.

Cell lengths 6.396, 6.396, 6.396 Å; angles 90.00, 90.00, 90.00 degrees
Space group Fm-3m (No. 225)
Unique sites:
Be1 0.250 0.250 0.250 x8
Ag1 0.000 0.000 0.000 x4
Br1 0.000 0.000 0.500 x4

Energy relative to the lowest polymorph listed for this composition: 0.911 eV/atom
Raw formation energy: 1.089 eV per atom

No. 7
The following is a DFT calculation (PBE) of a relaxed structure of BPPd6Au2.

Cell lengths 5.622, 5.638, 5.640 Å; angles 71.36, 71.12, 71.29 degrees
Space group P-1 (No. 2)
Unique sites:
B1 0.000 0.000 0.000 x1
P1 0.500 0.500 0.500 x1
Pd1 0.145 0.332 0.823 x2
Pd2 0.178 0.854 0.668 x2
Pd3 0.332 0.822 0.146 x2
Au1 0.294 0.294 0.295 x2

Formation energy: -0.2268 eV per atom

No. 8
The following is a DFT calculation (PBE) of a relaxed structure of MgTaH.

Cell lengths 3.049, 5.045, 5.333 Å; angles 90.00, 90.00, 90.00 degrees
Space group Pmn2_1 (No. 31)
Unique sites:
Mg1 0.000 0.006 0.000 x2
Ta1 0.000 0.495 0.671 x2
H1 0.000 0.338 0.337 x2

Energy relative to the lowest polymorph listed for this composition: 0.084 eV/atom

No. 9
The following is a DFT calculation (PBE) of a relaxed structure of Ca2In2Pd5Pb.

Cell lengths 10.592, 10.592, 3.746 Å; angles 90.00, 90.00, 90.00 degrees
Space group P4/mbm (No. 127)
Unique sites:
Ca1 0.172 0.328 0.000 x4
In1 0.128 0.628 0.000 x4
Pd1 0.000 0.500 0.500 x2
Pd2 0.051 0.798 0.500 x8
Pb1 0.000 0.000 0.000 x2

Formation energy: -0.5173 eV per atom

No. 10
The following is a DFT calculation (PBE) of a relaxed structure of PtSe2Cl.

Cell lengths 3.6179, 3.6179, 25.1910 Å; angles 90.00, 90.00, 120.00 degrees
Space group R3m (No. 160, hexagonal axes)
Unique sites:
Pt1 0.0000 0.0000 0.0000 x3
Se1 0.0000 0.0000 0.4616 x3
Se2 0.0000 0.0000 0.7229 x3
Cl1 0.0000 0.0000 0.2737 x3

Energy relative to the lowest polymorph listed for this composition: 0.334 eV/atom
Raw formation energy: -0.011 eV per atom

No. 11
The following is a DFT calculation (PBE) of a relaxed structure of SiIrO.

Cell lengths 2.7652, 2.7652, 6.9206 Å; angles 90.00, 90.00, 120.00 degrees
Space group P3m1 (No. 156)
Unique sites:
Si1 0.0000 0.0000 0.0000 x1
Ir1 0.3333 0.6667 0.7417 x1
O1 0.6667 0.3333 0.1348 x1

Energy relative to the lowest polymorph listed for this composition: 0.000 eV/atom
Raw formation energy: -1.151 eV per atom

No. 12
The following is a DFT calculation (PBE) of a relaxed structure of In2RhS.

Cell lengths 6.867, 6.867, 7.984 Å; angles 90.00, 90.00, 90.00 degrees
Space group I-42d (No. 122)
Unique sites:
In1 0.248 0.250 0.125 x8
Rh1 0.000 0.000 0.500 x4
S1 0.000 0.000 0.000 x4

Raw formation energy: 0.019 eV per atom

No. 13
The following is a DFT calculation (PBE) of a relaxed structure of HfCoPb2.

Cell lengths 6.988, 6.988, 6.988 Å; angles 90.00, 90.00, 90.00 degrees
Space group Fm-3m (No. 225)
Unique sites:
Hf1 0.000 0.000 0.000 x4
Co1 0.000 0.000 0.500 x4
Pb1 0.250 0.250 0.250 x8

Energy relative to the lowest polymorph listed for this composition: 0.070 eV/atom
Formation energy: 0.5078 eV per atom

No. 14
The following is a DFT calculation (PBE) of a relaxed structure of SrY2Be.

Cell lengths 3.894, 4.807, 6.777 Å; angles 90.00, 106.42, 90.00 degrees
Space group P2/m (No. 10)
Unique sites:
Sr1 0.000 0.000 0.000 x1
Y1 0.359 0.500 0.702 x2
Be1 0.000 0.000 0.500 x1

Formation energy: 0.4049 eV per atom

No. 15
The following is a DFT calculation (PBE) of a relaxed structure of HoNbSi2Ru.

Cell lengths 4.022, 4.022, 10.953 Å; angles 90.00, 90.00, 90.00 degrees
Space group I-4m2 (No. 119)
Unique sites:
Ho1 0.000 0.000 0.000 x2
Nb1 0.000 0.500 0.250 x2
Si1 0.000 0.000 0.391 x4
Ru1 0.000 0.500 0.750 x2

Raw formation energy: -0.674 eV per atom

No. 16
The following is a DFT calculation (PBE) of a relaxed structure of La6S5Br.

Cell lengths 7.242, 12.543, 7.258 Å; angles 90.00, 109.50, 90.00 degrees
Space group C2/m (No. 12)
Unique sites:
La1 0.238 0.000 0.259 x4
La2 0.238 0.174 0.738 x8
S1 0.000 0.000 0.500 x2
S2 0.000 0.167 0.000 x4
S3 0.000 0.339 0.500 x4
Br1 0.000 0.500 0.000 x2

Raw formation energy: -2.028 eV per atom

No. 17
The following is a DFT calculation (PBE) of a relaxed structure of NaPm2Pb3.

Cell lengths 3.550, 3.550, 14.131 Å; angles 90.00, 90.00, 90.00 degrees
Space group P4/mmm (No. 123)
Unique sites:
Na1 0.000 0.000 0.000 x1
Pm1 0.000 0.000 0.333 x2
Pb1 0.500 0.500 0.169 x2
Pb2 0.500 0.500 0.500 x1

Energy relative to the lowest polymorph listed for this composition: 0.015 eV/atom
Formation energy: -0.3904 eV per atom

No. 18
The following is a DFT calculation (PBE) of a relaxed structure of Rb2UTaO6.

Cell lengths 8.436, 8.436, 8.436 Å; angles 90.00, 90.00, 90.00 degrees
Space group Fm-3m (No. 225)
Unique sites:
Rb1 0.250 0.250 0.250 x8
U1 0.000 0.000 0.000 x4
Ta1 0.000 0.000 0.500 x4
O1 0.000 0.000 0.260 x24

Raw formation energy: -2.720 eV per atom